This record from Alexandria via LeMat-Bulk describes a relaxed Li3Ac2TbSe6 crystal. The functional is GGA-PBE.

Results
Space group ... No. 12
Density of states at the Fermi level ... 0.000 states/eV/atom
Total energy ... -5.002 eV per atom

a b c (Å): 4.281 7.903 9.287
angles (deg): 90.73 103.33 90.00
Positions (direct):
Li  0.500  0.500  0.000
Li  0.878  0.273  0.755
Li  0.122  0.727  0.245
Ac  0.807  0.744  0.614
Ac  0.193  0.256  0.386
Tb  0.500  0.000  0.000
Se  0.340  0.027  0.681
Se  0.658  0.525  0.316
Se  0.660  0.973  0.319
Se  0.016  0.247  0.032
Se  0.984  0.753  0.968
Se  0.342  0.475  0.684